Crystalline DyPuPdRu at its relaxed geometry, computed with PBE.

Summary:
Formation enthalpy at 0 K in eV/atom: -0.404

abc: 6.894 6.894 6.894
angles: 90.00 90.00 90.00
Space group F-43m (No. 216)
Symmetry-distinct sites (fractional):
Dy1 0.000 0.000 0.000
Pu1 0.000 0.000 0.500
Pd1 0.250 0.250 0.250
Ru1 0.250 0.250 0.750

=====

Crystalline LaPaTeO6 at its relaxed geometry, computed with PBE.

Summary:
Formation energy (no corrections) in eV per atom: -2.657

abc: 5.8277 5.8277 10.0865
angles: 90.00 90.00 120.00
Space group P-31c (No. 163)
Symmetry-distinct sites (fractional):
La1 0.0000 0.0000 0.0000
Pa1 0.3333 0.6667 0.2500
Te1 0.3333 0.6667 0.7500
O1 0.0006 0.3514 0.1390